First-principles (PBE-GGA) data for crystalline CaZnRh2 at its relaxed geometry, as listed in Alexandria via LeMat-Bulk.

The structure belongs to space group P4/mmm (No. 123); the cell edges are 3.2044, 3.2044 and 6.5559 Å and the angles 90.00°, 90.00° and 90.00°. Symmetry generates all atoms from Ca at (0.0000, 0.0000, 0.0000), Zn at (0.0000, 0.0000, 0.5000) and Rh at (0.5000, 0.5000, 0.2905).

First-principles (PBE-GGA) data for crystalline BaSb3Pd at its relaxed geometry, as listed in Alexandria via LeMat-Bulk.

The structure belongs to space group Pm-3m (No. 221); the cell edges are 6.1866, 6.1866 and 6.1866 Å and the angles 90.00°, 90.00° and 90.00°. Symmetry generates all atoms from Ba at (0.0000, 0.0000, 0.0000), Sb at (0.0000, 0.0000, 0.5000) and Pd at (0.5000, 0.5000, 0.5000).

For the energy above the most stable polymorph in this dataset, the calculation gives 1926.3 meV/atom. The value obtained for the formation energy from raw total energies is 1.321 eV/atom.

First-principles (PBE-GGA) data for crystalline TaTcW2 at its relaxed geometry, as listed in Alexandria via LeMat-Bulk.

The structure belongs to space group Cmm2 (No. 35); the cell edges are 3.1866, 4.5473 and 8.9581 Å and the angles 90.00°, 90.00° and 90.00°. Symmetry generates all atoms from Ta at (0.0000, 0.0000, 0.0000), Tc at (0.0000, 0.5000, 0.7509), W at (0.0000, 0.0000, 0.5085) and W at (0.0000, 0.5000, 0.2594).

For the energy above the most stable polymorph in this dataset, the calculation gives 111.7 meV/atom.

First-principles (PBE-GGA) data for crystalline MgSn4O8 at its relaxed geometry, as listed in Alexandria via LeMat-Bulk.

The structure belongs to space group R-3m (No. 166, hexagonal axes); the cell edges are 6.6236, 6.6236 and 15.2380 Å and the angles 90.00°, 90.00° and 120.00°. Symmetry generates all atoms from Mg at (0.0000, 0.0000, 0.0000), Sn at (0.0000, 0.0000, 0.5000), Sn at (0.0000, 0.5000, 0.5000), O at (0.0000, 0.0000, 0.2360) and O at (0.0457, 0.5228, 0.7586).

For the energy above the most stable polymorph in this dataset, the calculation gives 104.3 meV/atom. The value obtained for the formation energy from raw total energies is -1.552 eV/atom.

First-principles (PBE-GGA) data for crystalline HfCuAgPt at its relaxed geometry, as listed in Alexandria via LeMat-Bulk.

The structure belongs to space group F-43m (No. 216); the cell edges are 6.4437, 6.4437 and 6.4437 Å and the angles 90.00°, 90.00° and 90.00°. Symmetry generates all atoms from Hf at (0.0000, 0.0000, 0.0000), Cu at (0.2500, 0.2500, 0.7500), Ag at (0.0000, 0.0000, 0.5000) and Pt at (0.2500, 0.2500, 0.2500).

First-principles (PBE-GGA) data for crystalline Tb2PBr3 at its relaxed geometry, as listed in Alexandria via LeMat-Bulk.

The structure belongs to space group C2/m (No. 12); the cell edges are 17.1337, 4.3016 and 12.4782 Å and the angles 90.00°, 123.72° and 90.00°. Symmetry generates all atoms from Tb at (0.1023, 0.0000, 0.4551), Tb at (0.1367, 0.5000, 0.8184), P at (0.0889, 0.0000, 0.6641), Br at (0.0551, 0.5000, 0.2583), Br at (0.1608, 0.0000, 0.0138) and Br at (0.2356, 0.5000, 0.6055).

The value obtained for the formation energy from raw total energies is -1.642 eV/atom.

First-principles (PBE-GGA) data for crystalline BaLi2Co at its relaxed geometry, as listed in Alexandria via LeMat-Bulk.

The structure belongs to space group Imm2 (No. 44); the cell edges are 4.0240, 5.2026 and 9.3172 Å and the angles 90.00°, 90.00° and 90.00°. Symmetry generates all atoms from Ba at (0.0000, 0.0000, 0.0000), Li at (0.0000, 0.0000, 0.5794), Li at (0.0000, 0.5000, 0.7915) and Co at (0.0000, 0.5000, 0.2457).

For the energy above the most stable polymorph in this dataset, the calculation gives 128.9 meV/atom.

First-principles (PBE-GGA) data for crystalline Tc3Ge6Ir at its relaxed geometry, as listed in Alexandria via LeMat-Bulk.

The structure belongs to space group P2_1/c (No. 14); the cell edges are 6.1721, 6.5882 and 8.7767 Å and the angles 90.00°, 110.59° and 90.00°. Symmetry generates all atoms from Tc at (0.0000, 0.0000, 0.0000), Tc at (0.2154, 0.1333, 0.7360), Ge at (0.0783, 0.1408, 0.4205), Ge at (0.2464, 0.7039, 0.3944), Ge at (0.4050, 0.0329, 0.1994) and Ir at (0.5000, 0.0000, 0.5000).

First-principles (PBE-GGA) data for crystalline ZrHgPd at its relaxed geometry, as listed in Alexandria via LeMat-Bulk.

The structure belongs to space group P6_3/mmc (No. 194); the cell edges are 4.8075, 4.8075 and 5.8412 Å and the angles 90.00°, 90.00° and 120.00°. Symmetry generates all atoms from Zr at (0.3333, 0.6667, 0.2500), Hg at (0.0000, 0.0000, 0.0000) and Pd at (0.3333, 0.6667, 0.7500).

First-principles (PBE-GGA) data for crystalline Na2SnBi3 at its relaxed geometry, as listed in Alexandria via LeMat-Bulk.

The structure belongs to space group Cmcm (No. 63); the cell edges are 14.9096, 8.7978 and 6.4377 Å and the angles 90.00°, 90.00° and 90.00°. Symmetry generates all atoms from Na at (0.1703, 0.1646, 0.2500), Sn at (0.0000, 0.3198, 0.7500), Bi at (0.0000, 0.0000, 0.0000) and Bi at (0.1528, 0.5000, 0.0000).

First-principles (PBE-GGA) data for crystalline Ca3ReF at its relaxed geometry, as listed in Alexandria via LeMat-Bulk.

The structure belongs to space group Pm-3m (No. 221); the cell edges are 5.4508, 5.4508 and 5.4508 Å and the angles 90.00°, 90.00° and 90.00°. Symmetry generates all atoms from Ca at (0.0000, 0.0000, 0.5000), Re at (0.0000, 0.0000, 0.0000) and F at (0.5000, 0.5000, 0.5000).

For the energy above the most stable polymorph in this dataset, the calculation gives 676.3 meV/atom. The value obtained for the formation energy from raw total energies is 0.188 eV/atom.

First-principles (PBE-GGA) data for crystalline Mn2TlCr at its relaxed geometry, as listed in Alexandria via LeMat-Bulk.

The structure belongs to space group Cmmm (No. 65); the cell edges are 5.7141, 7.3862 and 3.0101 Å and the angles 90.00°, 90.00° and 90.00°. Symmetry generates all atoms from Mn at (0.2500, 0.2500, 0.0000), Tl at (0.0000, 0.0000, 0.5000) and Cr at (0.0000, 0.5000, 0.5000).

For the energy above the most stable polymorph in this dataset, the calculation gives 159.6 meV/atom.

First-principles (PBE-GGA) data for crystalline Er8FeNi2 at its relaxed geometry, as listed in Alexandria via LeMat-Bulk.

The structure belongs to space group Cm (No. 8); the cell edges are 8.0840, 12.2563 and 5.9076 Å and the angles 90.00°, 109.66° and 90.00°. Symmetry generates all atoms from Er at (0.0000, 0.0000, 0.0000), Er at (0.0669, 0.3702, 0.7681), Er at (0.1514, 0.1287, 0.5685), Er at (0.2086, 0.5000, 0.3589), Er at (0.3532, 0.2076, 0.1812), Fe at (0.3509, 0.0000, 0.3527) and Ni at (0.3597, 0.3121, 0.6716).

For the energy above the most stable polymorph in this dataset, the calculation gives 86.4 meV/atom.

First-principles (PBE-GGA) data for crystalline ErTm7Tl4 at its relaxed geometry, as listed in Alexandria via LeMat-Bulk.

The structure belongs to space group C2/m (No. 12); the cell edges are 14.8287, 5.7185 and 9.6334 Å and the angles 90.00°, 121.44° and 90.00°. Symmetry generates all atoms from Er at (0.0000, 0.0000, 0.0000), Tm at (0.0000, 0.5000, 0.0000), Tm at (0.0698, 0.0000, 0.4095), Tm at (0.2035, 0.0000, 0.8787), Tm at (0.2455, 0.5000, 0.7008), Tl at (0.0489, 0.5000, 0.7104) and Tl at (0.1848, 0.5000, 0.3383).

First-principles (PBE-GGA) data for crystalline MnAg2Mo at its relaxed geometry, as listed in Alexandria via LeMat-Bulk.

The structure belongs to space group I-4m2 (No. 119); the cell edges are 4.1294, 4.1294 and 7.6985 Å and the angles 90.00°, 90.00° and 90.00°. Symmetry generates all atoms from Mn at (0.0000, 0.0000, 0.0000), Ag at (0.0000, 0.0000, 0.5000), Ag at (0.0000, 0.5000, 0.2500) and Mo at (0.0000, 0.5000, 0.7500).

For the energy above the most stable polymorph in this dataset, the calculation gives 249.7 meV/atom.

First-principles (PBE-GGA) data for crystalline LaSn3Ru at its relaxed geometry, as listed in Alexandria via LeMat-Bulk.

The structure belongs to space group Pm-3m (No. 221); the cell edges are 5.1556, 5.1556 and 5.1556 Å and the angles 90.00°, 90.00° and 90.00°. Symmetry generates all atoms from La at (0.0000, 0.0000, 0.0000), Sn at (0.0000, 0.5000, 0.5000) and Ru at (0.5000, 0.5000, 0.5000).

First-principles (PBE-GGA) data for crystalline Ac3Ni2Ge4 at its relaxed geometry, as listed in Alexandria via LeMat-Bulk.

The structure belongs to space group C2/m (No. 12); the cell edges are 11.7735, 4.3404 and 8.7565 Å and the angles 90.00°, 108.92° and 90.00°. Symmetry generates all atoms from Ac at (0.0000, 0.0000, 0.0000), Ac at (0.1124, 0.5000, 0.6809), Ni at (0.1820, 0.5000, 0.3297), Ge at (0.1323, 0.0000, 0.4047) and Ge at (0.2182, 0.5000, 0.0729).

For the energy above the most stable polymorph in this dataset, the calculation gives 70.5 meV/atom.

First-principles (PBE-GGA) data for crystalline CaYSe at its relaxed geometry, as listed in Alexandria via LeMat-Bulk.

The structure belongs to space group F-43m (No. 216); the cell edges are 6.9157, 6.9157 and 6.9157 Å and the angles 90.00°, 90.00° and 90.00°. Symmetry generates all atoms from Ca at (0.0000, 0.0000, 0.0000), Y at (0.0000, 0.0000, 0.5000) and Se at (0.2500, 0.2500, 0.7500).

For the energy above the most stable polymorph in this dataset, the calculation gives 387.4 meV/atom. The value obtained for the formation energy from raw total energies is -0.739 eV/atom.

First-principles (PBE-GGA) data for crystalline La2TeP at its relaxed geometry, as listed in Alexandria via LeMat-Bulk.

The structure belongs to space group R3m (No. 160, hexagonal axes); the cell edges are 4.3038, 4.3038 and 23.0759 Å and the angles 90.00°, 90.00° and 120.00°. Symmetry generates all atoms from La at (0.0000, 0.0000, 0.0000), La at (0.0000, 0.0000, 0.1918), Te at (0.0000, 0.0000, 0.4285) and P at (0.0000, 0.0000, 0.5970).

For the energy above the most stable polymorph in this dataset, the calculation gives 51.9 meV/atom. The value obtained for the formation energy from raw total energies is -1.613 eV/atom.

First-principles (PBE-GGA) data for crystalline Tm2Cu2P3 at its relaxed geometry, as listed in Alexandria via LeMat-Bulk.

The structure belongs to space group C2/m (No. 12); the cell edges are 14.3157, 3.9170 and 10.7830 Å and the angles 90.00°, 125.98° and 90.00°. Symmetry generates all atoms from Tm at (0.1054, 0.0000, 0.4424), Tm at (0.2368, 0.0000, 0.8406), Cu at (0.0484, 0.5000, 0.8173), Cu at (0.0879, 0.0000, 0.1556), P at (0.0790, 0.5000, 0.6229), P at (0.1163, 0.0000, 0.9651) and P at (0.1616, 0.5000, 0.3128).

First-principles (PBE-GGA) data for crystalline PrEr2As3 at its relaxed geometry, as listed in Alexandria via LeMat-Bulk.

The structure belongs to space group Immm (No. 71); the cell edges are 4.1597, 5.8965 and 12.4697 Å and the angles 90.00°, 90.00° and 90.00°. Symmetry generates all atoms from Pr at (0.0000, 0.0000, 0.0000), Er at (0.0000, 0.0000, 0.3345), As at (0.0000, 0.5000, 0.0000) and As at (0.0000, 0.5000, 0.3260).

First-principles (PBE-GGA) data for crystalline Ta2TcW at its relaxed geometry, as listed in Alexandria via LeMat-Bulk.

The structure belongs to space group P2/m (No. 10); the cell edges are 2.8428, 4.4655 and 5.3202 Å and the angles 90.00°, 99.60° and 90.00°. Symmetry generates all atoms from Ta at (0.2461, 0.0000, 0.2514), Tc at (0.0000, 0.5000, 0.5000) and W at (0.5000, 0.5000, 0.0000).

For the energy above the most stable polymorph in this dataset, the calculation gives 145.0 meV/atom.

First-principles (PBE-GGA) data for crystalline Cd2GaS at its relaxed geometry, as listed in Alexandria via LeMat-Bulk.

The structure belongs to space group Fm-3m (No. 225); the cell edges are 7.0543, 7.0543 and 7.0543 Å and the angles 90.00°, 90.00° and 90.00°. Symmetry generates all atoms from Cd at (0.2500, 0.2500, 0.2500), Ga at (0.0000, 0.0000, 0.0000) and S at (0.0000, 0.0000, 0.5000).

For the energy above the most stable polymorph in this dataset, the calculation gives 218.1 meV/atom. The value obtained for the formation energy from raw total energies is 0.170 eV/atom.

First-principles (PBE-GGA) data for crystalline BaDy2InO5 at its relaxed geometry, as listed in Alexandria via LeMat-Bulk.

The structure belongs to space group Immm (No. 71); the cell edges are 4.0524, 5.9234 and 11.6897 Å and the angles 90.00°, 90.00° and 90.00°. Symmetry generates all atoms from Ba at (0.0000, 0.0000, 0.0000), Dy at (0.0000, 0.5000, 0.2163), In at (0.0000, 0.0000, 0.5000), O at (0.0000, 0.2362, 0.3489) and O at (0.0000, 0.5000, 0.0000).

The value obtained for the formation energy from raw total energies is -2.565 eV/atom.

First-principles (PBE-GGA) data for crystalline NpIn2F6 at its relaxed geometry, as listed in Alexandria via LeMat-Bulk.

The structure belongs to space group P4_2/mnm (No. 136); the cell edges are 5.6731, 5.6731 and 12.9910 Å and the angles 90.00°, 90.00° and 90.00°. Symmetry generates all atoms from Np at (0.0000, 0.0000, 0.0000), In at (0.0000, 0.0000, 0.3433), F at (0.1859, 0.1859, 0.1201) and F at (0.2224, 0.2224, 0.5000).

The value obtained for the formation energy from raw total energies is -2.687 eV/atom.

In Å³/f.u., the calculated volume values for the records above are, in order, 67.3 236.8 64.9 193.0 66.9 191.2 97.5 167.0 58.4 211.1 162.0 63.5 275.6 348.5 65.6 137.0 211.7 82.7 123.4 122.3 152.9 66.6 87.8 140.3 209.1.
In eV/atom, the E_tot values for the records above are, in order, -4.78 -2.58 -12.08 -5.96 -6.12 -4.92 -2.73 -6.81 -5.11 -3.13 -3.88 -7.06 -5.20 -3.75 -5.88 -5.34 -5.35 -4.72 -6.21 -5.71 -6.13 -11.91 -2.08 -6.86 -5.98.